(1)
5
Lattice="4.0939 0.0000 0.0000 0.0000 4.0939 0.0000 0.0000 0.0000 5.8164" Properties=species:S:1:pos:R:3 comment="NaScSiF2 (PBE-GGA, optimized geometry)" volume_a3_per_atom=19.50 e_form_raw_kj_per_mol_atoms=-179 dos_ef_per_ev_fu=1.78 crystal_system=tetragonal magnetic_moment_mub_per_cell=0.000 density_g_cm3=2.3 pbc="T T T"
Na 0.0000 0.0000 0.0000
Sc 2.0470 2.0470 2.9082
Si 2.0470 2.0470 0.0000
F 0.0000 2.0470 2.9082
F 2.0470 0.0000 2.9082

=====

(2)
12
Lattice="5.0937 0.0000 0.0000 0.0625 5.3571 0.0000 0.5464 0.2781 7.4480" Properties=species:S:1:pos:R:3 comment="NaScSn2F8 (PBE-GGA, optimized geometry)" volume_a3_per_atom=16.94 e_form_raw_kj_per_mol_atoms=-280 dos_ef_per_ev_fu=0.00 crystal_system=triclinic magnetic_moment_mub_per_cell=0.000 density_g_cm3=3.7 pbc="T T T"
Na 0.0000 0.0000 0.0000
Sc 0.2732 0.1390 3.7240
Sn 2.8238 2.8664 5.5990
Sn 2.8788 2.7688 1.8490
F 1.1521 1.3093 2.2641
F 1.4494 0.7602 5.2724
F 1.6419 3.9859 3.2837
F 1.6750 3.7427 0.3615
F 4.0276 1.8925 7.0865
F 4.0607 1.6493 4.1642
F 4.2532 4.8750 2.1755
F 4.5505 4.3259 5.1839

=====

(3)
12
Lattice="5.1380 0.0000 0.0000 0.0000 6.8848 0.0000 -0.2015 0.0000 5.1374" Properties=species:S:1:pos:R:3 comment="Na2ScSnF8 (PBE-GGA, optimized geometry)" volume_a3_per_atom=15.14 e_form_raw_kj_per_mol_atoms=-288 dos_ef_per_ev_fu=3.54 crystal_system=monoclinic magnetic_moment_mub_per_cell=0.379 density_g_cm3=3.3 pbc="T T T"
Na 0.0000 1.6579 0.0000
Na 0.0000 5.2269 0.0000
Sc 2.4683 0.0000 2.5687
Sn 2.4683 3.4424 2.5687
F 1.0061 3.4424 1.0674
F 1.0875 0.0000 1.1462
F 1.5190 1.6247 3.4945
F 1.5190 5.2600 3.4945
F 3.4176 1.6247 1.6429
F 3.4176 5.2600 1.6429
F 3.8490 0.0000 3.9912
F 3.9305 3.4424 4.0701

=====

(4)
10
Lattice="2.9766 1.7185 5.3729 -2.9766 1.7185 5.3729 0.0000 -3.4371 5.3729" Properties=species:S:1:pos:R:3 comment="Na2ScTlF6 (PBE-GGA, optimized geometry)" volume_a3_per_atom=16.49 e_form_raw_kj_per_mol_atoms=-295 dos_ef_per_ev_fu=0.00 crystal_system=trigonal magnetic_moment_mub_per_cell=0.000 density_g_cm3=4.1 pbc="T T T"
Na 0.0000 0.0000 0.0000
Na 0.0000 0.0000 7.7906
Sc 0.0000 0.0000 11.0749
Tl 0.0000 0.0000 3.4428
F -1.2014 -1.6871 6.6961
F -1.5424 -0.2943 9.7357
F -0.8604 1.8840 6.6960
F 1.0261 -1.1886 9.7357
F 2.0617 -0.1969 6.6960
F 0.5163 1.4829 9.7357

=====

(5)
11
Lattice="4.6459 0.0000 0.0000 0.2018 6.3297 0.0000 0.1837 2.4320 5.8518" Properties=species:S:1:pos:R:3 comment="NaSe2F8 (PBE-GGA, optimized geometry)" volume_a3_per_atom=15.64 e_form_raw_kj_per_mol_atoms=-169 dos_ef_per_ev_fu=1.77 crystal_system=triclinic magnetic_moment_mub_per_cell=0.000 density_g_cm3=3.2 pbc="T T T"
Na 0.0000 0.0000 0.0000
Se 1.4238 5.4060 3.6144
Se 3.6076 3.3557 2.2374
F 1.0657 3.4528 2.2959
F 1.3383 6.4555 2.0460
F 1.3471 4.3377 5.1721
F 1.5741 6.8707 4.6075
F 3.4573 1.8910 1.2444
F 3.6843 4.4240 0.6797
F 3.6931 2.3061 3.8058
F 3.9657 5.3089 3.5559

=====

(6)
11
Lattice="4.9940 -3.8576 0.0000 4.9940 3.8576 0.0000 -0.5407 0.0000 4.4259" Properties=species:S:1:pos:R:3 comment="Na2SeF8 (PBE-GGA, optimized geometry)" volume_a3_per_atom=15.50 e_form_raw_kj_per_mol_atoms=-182 dos_ef_per_ev_fu=11.05 crystal_system=monoclinic magnetic_moment_mub_per_cell=0.134 density_g_cm3=2.7 pbc="T T T"
Na 0.9544 0.0000 1.2118
Na 8.4930 0.0000 3.2141
Se 4.9940 0.0000 0.0000
F 0.7258 0.0000 3.4190
F 3.7661 1.2365 3.4055
F 3.5440 0.0000 0.9657
F 5.6812 1.2365 1.0203
F 3.7661 -1.2365 3.4055
F 5.9034 0.0000 3.4601
F 5.6812 -1.2365 1.0203
F 8.7216 0.0000 1.0068

=====

(7)
12
Lattice="3.4254 0.0000 0.0000 -1.7127 2.9665 0.0000 0.0000 0.0000 21.1605" Properties=species:S:1:pos:R:3 comment="Na2SeF (PBE-GGA, optimized geometry)" volume_a3_per_atom=17.92 e_form_raw_kj_per_mol_atoms=-157 dos_ef_per_ev_fu=0.81 crystal_system=trigonal magnetic_moment_mub_per_cell=0.000 density_g_cm3=3.3 pbc="T T T"
Na 0.0000 0.0000 4.8690
Na 0.0000 0.0000 16.2915
Na 0.0000 1.9776 9.2380
Na 0.0000 1.9776 18.9760
Na 1.7127 0.9888 2.1845
Na 1.7127 0.9888 11.9226
Se 0.0000 0.0000 0.0000
Se 0.0000 1.9776 14.1070
Se 1.7127 0.9888 7.0535
F 0.0000 0.0000 10.5803
F 0.0000 1.9776 3.5268
F 1.7127 0.9888 17.6338

=====

(8)
24
Lattice="6.0746 0.0000 0.0000 0.0000 11.0752 0.0000 -4.0481 0.0000 6.2858" Properties=species:S:1:pos:R:3 comment="NaSeF4 (PBE-GGA, optimized geometry)" volume_a3_per_atom=17.62 e_form_raw_kj_per_mol_atoms=-181 dos_ef_per_ev_fu=1.38 crystal_system=monoclinic magnetic_moment_mub_per_cell=0.469 density_g_cm3=2.8 pbc="T T T"
Na -0.4290 0.7389 2.6226
Na -2.4531 4.7987 5.7655
Na 4.4796 6.2765 0.5203
Na 2.4556 10.3363 3.6632
Se -1.0929 8.0262 4.2514
Se 0.9312 8.5866 1.1085
Se 1.0954 2.4886 5.1772
Se 3.1194 3.0490 2.0343
F -1.3988 7.5378 2.4312
F -3.4228 9.0750 5.5741
F 0.7001 6.7178 0.5258
F -1.3239 9.8950 3.6687
F -0.8673 6.1666 4.7652
F 1.1568 10.4463 1.6223
F 2.7325 2.6663 0.1740
F 0.7085 2.8713 3.3168
F 1.3181 8.2039 2.9689
F -0.7060 8.4089 6.1118
F 0.8698 0.6290 4.6635
F 2.8938 4.9086 1.5206
F 3.3504 1.1802 2.6171
F 1.3264 4.3574 5.7600
F 5.4494 2.0002 0.7117
F 3.4253 3.5374 3.8546

=====

(9)
16
Lattice="6.3228 0.0000 0.0000 0.0000 6.3228 0.0000 0.0000 0.0000 6.3228" Properties=species:S:1:pos:R:3 comment="NaSeF2 (PBE-GGA, optimized geometry)" volume_a3_per_atom=15.80 e_form_raw_kj_per_mol_atoms=-101 dos_ef_per_ev_fu=0.89 crystal_system=cubic magnetic_moment_mub_per_cell=11.947 density_g_cm3=3.7 pbc="T T T"
Na 0.0000 0.0000 0.0000
Na 0.0000 3.1614 3.1614
Na 3.1614 0.0000 3.1614
Na 3.1614 3.1614 0.0000
Se 0.0000 0.0000 3.1614
Se 0.0000 3.1614 0.0000
Se 3.1614 0.0000 0.0000
Se 3.1614 3.1614 3.1614
F 1.5807 1.5807 1.5807
F 1.5807 1.5807 4.7421
F 1.5807 4.7421 1.5807
F 1.5807 4.7421 4.7421
F 4.7421 1.5807 1.5807
F 4.7421 1.5807 4.7421
F 4.7421 4.7421 1.5807
F 4.7421 4.7421 4.7421

=====

(10)
14
Lattice="1.9463 -5.5464 0.0000 1.9463 5.5464 0.0000 0.0000 0.0000 11.8440" Properties=species:S:1:pos:R:3 comment="Na4SeF2 (PBE-GGA, optimized geometry)" volume_a3_per_atom=18.26 e_form_raw_kj_per_mol_atoms=-183 crystal_system=orthorhombic magnetic_moment_mub_per_cell=0.000 density_g_cm3=2.7 pbc="T T T"
Na 0.0000 0.0000 0.0000
Na 0.0000 0.0000 5.9220
Na 1.9463 2.4900 7.1960
Na 1.9463 2.4900 10.5699
Na 1.9463 0.8315 2.9610
Na 1.9463 -0.8315 8.8830
Na 1.9463 -2.4900 1.2741
Na 1.9463 -2.4900 4.6479
Se 1.9463 4.3421 2.9610
Se 1.9463 -4.3421 8.8830
F 1.9463 1.5060 0.7246
F 1.9463 1.5060 5.1974
F 1.9463 -1.5060 6.6466
F 1.9463 -1.5060 11.1194

=====

(11)
5
Lattice="4.5481 0.0000 0.0000 0.0000 4.5481 0.0000 0.0000 0.0000 4.5481" Properties=species:S:1:pos:R:3 comment="Na3SeF (PBE-GGA, optimized geometry)" volume_a3_per_atom=18.82 e_form_raw_kj_per_mol_atoms=-164 dos_ef_per_ev_fu=0.00 crystal_system=cubic magnetic_moment_mub_per_cell=0.000 density_g_cm3=2.9 pbc="T T T"
Na 0.0000 0.0000 2.2740
Na 0.0000 2.2740 0.0000
Na 2.2740 0.0000 0.0000
Se 2.2740 2.2740 2.2740
F 0.0000 0.0000 0.0000

=====

(12)
5
Lattice="4.1607 0.0000 0.0000 0.0000 4.1607 0.0000 0.0000 0.0000 4.1607" Properties=species:S:1:pos:R:3 comment="NaSeF3 (PBE-GGA, optimized geometry)" volume_a3_per_atom=14.41 e_form_raw_kj_per_mol_atoms=-94 dos_ef_per_ev_fu=5.66 crystal_system=cubic magnetic_moment_mub_per_cell=1.999 density_g_cm3=3.7 pbc="T T T"
Na 0.0000 0.0000 0.0000
Se 2.0803 2.0803 2.0803
F 0.0000 0.0000 2.0803
F 0.0000 2.0803 0.0000
F 2.0803 0.0000 0.0000